Entry 1:
Material: La2ScP2N6
Method: DFT, PBE-GGA
State: relaxed

Geometry as POSCAR:
```
La2ScP2N6
1.0
2.798 1.615 5.552
-2.798 1.615 5.552
0.000 -3.231 5.552
La Sc P N
2 1 2 6
direct
0.217 0.217 0.217
0.783 0.783 0.783
0.000 0.000 0.000
0.432 0.432 0.432
0.568 0.568 0.568
0.254 0.745 0.745
0.255 0.255 0.746
0.255 0.746 0.255
0.745 0.254 0.745
0.745 0.745 0.254
0.746 0.255 0.255
```

As for the total energy: -89.01 eV/f.u. Its formation energy (no corrections) is -1.096 eV per atom. The volume comes out at 13.7 Å³ per atom. The density is 5.17 Mg/m³.

---

Entry 2:
Material: CdHg2TeSe2
Method: DFT, PBE-GGA
State: relaxed

Geometry as POSCAR:
```
CdHg2TeSe2
1.0
6.747 -3.900 0.000
6.747 3.900 0.000
0.000 0.000 7.385
Cd Hg Te Se
2 4 2 4
direct
0.185 0.815 0.500
0.815 0.185 0.000
0.168 0.490 0.024
0.490 0.168 0.524
0.510 0.832 0.024
0.832 0.510 0.524
0.167 0.833 0.887
0.833 0.167 0.387
0.166 0.496 0.393
0.496 0.166 0.893
0.504 0.834 0.393
0.834 0.504 0.893
```

As for the total energy: -13.45 eV/f.u. Its formation energy (no corrections) is -0.304 eV per atom. The volume comes out at 32.4 Å³ per atom. The density is 6.83 Mg/m³.

---

Entry 3:
Material: NaMg2SnPd
Method: DFT, PBE-GGA
State: relaxed

Geometry as POSCAR:
```
NaMg2SnPd
1.0
5.100 0.000 0.000
0.000 5.100 0.000
0.000 0.000 5.101
Na Mg Sn Pd
1 2 1 1
direct
0.000 0.000 0.000
0.000 0.500 0.500
0.500 0.000 0.500
0.500 0.500 0.000
0.500 0.500 0.500
```

As for the total energy: -14.83 eV/f.u. The formation energy is -0.23 eV per atom. The volume comes out at 26.5 Å³ per atom. The density is 3.71 Mg/m³.

---

Entry 4:
Material: Ca8PdAu2
Method: DFT, PBE-GGA
State: relaxed

Geometry as POSCAR:
```
Ca8PdAu2
1.0
4.463 -6.675 0.000
4.463 6.675 0.000
-2.149 0.000 5.960
Ca Pd Au
8 1 2
direct
0.000 0.000 0.000
0.016 0.277 0.566
0.140 0.558 0.176
0.277 0.016 0.566
0.432 0.689 0.771
0.558 0.140 0.176
0.689 0.432 0.771
0.711 0.711 0.373
0.351 0.351 0.378
0.048 0.675 0.698
0.675 0.048 0.698
```

As for the total energy: -32.60 eV/f.u. The formation energy is -0.44 eV per atom. The volume comes out at 32.3 Å³ per atom. The density is 3.84 Mg/m³.

---

Entry 5:
Material: Sm4BiSe2S
Method: DFT, PBE-GGA
State: relaxed

Geometry as POSCAR:
```
Sm4BiSe2S
1.0
-4.237 4.246 6.003
4.237 -4.246 6.003
4.237 4.246 -6.003
Sm Bi Se S
8 2 4 2
direct
0.257 0.242 0.015
0.259 0.242 0.483
0.259 0.776 0.017
0.273 0.758 0.515
0.727 0.242 0.485
0.741 0.224 0.983
0.741 0.758 0.517
0.743 0.758 0.985
0.000 0.500 0.500
0.500 0.500 0.000
0.000 0.000 0.000
0.000 0.000 0.500
0.000 0.500 0.000
0.500 0.000 0.500
0.500 0.000 0.000
0.500 0.500 0.500
```

As for the total energy: -46.62 eV/f.u. Its formation energy (no corrections) is -1.596 eV per atom. The volume comes out at 27.0 Å³ per atom. The density is 7.69 Mg/m³.

---

Entry 6:
Material: KCuSe
Method: DFT, PBE-GGA
State: relaxed

Geometry as POSCAR:
```
KCuSe
1.0
4.198 0.000 0.000
-2.099 3.636 0.000
0.000 0.000 9.836
K Cu Se
2 2 2
direct
0.000 0.000 0.000
0.000 0.000 0.500
0.333 0.667 0.250
0.667 0.333 0.750
0.333 0.667 0.750
0.667 0.333 0.250
```

As for the total energy: -10.75 eV/f.u. Its formation energy (no corrections) is -0.690 eV per atom. The volume comes out at 25.0 Å³ per atom. The density is 4.02 Mg/m³.